[1]
Below is crystalline LiY2TmS4 at its relaxed geometry, with properties calculated at the GGA-PBE level.

Cell: 3.863 6.686 6.698 Å, 109.37 90.00 90.00°
Fractional coordinates of all 8 atoms:
S1 0.500 0.749 0.760
S2 0.000 0.255 0.759
S3 0.000 0.745 0.241
S4 0.500 0.251 0.240
Tm1 0.000 0.000 0.000
Y1 0.500 0.000 0.500
Y2 0.000 0.500 0.500
Li1 0.500 0.500 0.000

As for the space group: P2/m (10). The calculation puts the size of the total moment at 0.00 μB/cell. As for the energy: -0.4712 Ry/atom. Its formation energy without anion corrections is -1.933 eV per atom.


[2]
Below is crystalline Li3Y2TmS6 at its relaxed geometry, with properties calculated at the GGA-PBE level.

Cell: 6.751 6.751 6.569 Å, 99.85 99.85 120.01°
Fractional coordinates of all 12 atoms:
Li1 0.835 0.165 0.500
Li2 0.165 0.835 0.500
Li3 0.500 0.500 0.500
S1 0.587 0.917 0.750
S2 0.753 0.753 0.249
S3 0.413 0.083 0.250
S4 0.917 0.587 0.750
S5 0.247 0.247 0.751
S6 0.083 0.413 0.250
Tm1 0.000 0.000 0.000
Y1 0.333 0.667 0.000
Y2 0.667 0.333 0.000

As for the space group: C2/m (12). The calculation puts the size of the total moment at 0.00 μB/cell. As for the energy: -0.4297 Ry/atom. Its formation energy without anion corrections is -1.855 eV per atom.


[3]
Below is crystalline Li4Y3TmS8 at its relaxed geometry, with properties calculated at the GGA-PBE level.

Cell: 7.804 7.648 7.803 Å, 120.70 120.00 90.00°
Fractional coordinates of all 16 atoms:
Li1 0.500 0.000 0.500
Li2 0.000 0.000 0.000
Li3 0.500 0.000 0.000
Li4 0.000 0.000 0.500
S1 0.752 0.250 0.503
S2 0.751 0.751 0.501
S3 0.752 0.250 0.998
S4 0.248 0.750 0.002
S5 0.753 0.750 0.002
S6 0.247 0.250 0.998
S7 0.249 0.249 0.499
S8 0.248 0.750 0.497
Y1 0.000 0.500 0.500
Y2 0.500 0.500 0.000
Y3 0.500 0.500 0.500
Tm1 0.000 0.500 0.000

As for the space group: R-3m (166). The calculation puts the size of the total moment at 0.00 μB/cell. As for the energy: -0.4327 Ry/atom. Its formation energy without anion corrections is -1.854 eV per atom.


[4]
Below is crystalline LiYTm2S4 at its relaxed geometry, with properties calculated at the GGA-PBE level.

Cell: 3.842 6.672 6.672 Å, 109.33 90.00 90.00°
Fractional coordinates of all 8 atoms:
S1 0.500 0.743 0.749
S2 0.000 0.254 0.750
S3 0.500 0.257 0.251
S4 0.000 0.746 0.250
Y1 0.000 0.000 0.000
Tm1 0.500 0.000 0.500
Tm2 0.000 0.500 0.500
Li1 0.500 0.500 0.000

As for the space group: P2/m (10). The calculation puts the size of the total moment at 0.00 μB/cell. As for the energy: -0.4523 Ry/atom. Its formation energy without anion corrections is -1.924 eV per atom.